# DyHo3Ir

A relaxed structure of DyHo3Ir (GGA-PBE, Alexandria).

Computed properties:
N(E_F): 11.005 states/eV per cell
E_tot: -28.9 eV per formula unit
Total moment: 0.00 μB per cell

Cell: 7.582 6.504 6.149 Å, 90.00 90.00 90.00°
Space group Pmn2_1 (No. 31)
One atom of each set of equivalent atoms:
Dy (0.000, 0.152, 0.000) [2 per cell]
Ho (0.000, 0.847, 0.493) [2 per cell]
Ho (0.250, 0.313, 0.497) [4 per cell]
Ir (0.000, 0.501, 0.747) [2 per cell]